# Sm4TlBi | Alexandria | GGA-PBE | optimized geometry
# * energy relative to the elements: -8.49 kcal/mol of atoms
# * total moment: 0.01 Bohr magnetons per cell
# * DOS at the Fermi energy: 14.5 states/eV/cell
# * raw total energy: -4.5556 eV per atom
data_Sm4TlBi
_cell_length_a 6.436
_cell_length_b 8.696
_cell_length_c 8.456
_cell_angle_alpha 113.30
_cell_angle_beta 102.72
_cell_angle_gamma 108.17
_space_group_name_H-M_alt 'P 1'
_space_group_IT_number 1
loop_
_space_group_symop_operation_xyz
'x,y,z'
loop_
_atom_site_label
_atom_site_fract_x
_atom_site_fract_y
_atom_site_fract_z
_atom_site_occupancy
Tl1 0.252 0.002 0.004 1
Sm1 0.276 0.612 0.826 1
Bi1 0.365 0.615 0.231 1
Bi2 0.635 0.385 0.769 1
Sm2 0.950 0.786 0.174 1
Sm3 0.050 0.214 0.826 1
Sm4 0.231 0.296 0.382 1
Sm5 0.651 0.086 0.382 1
Sm6 0.349 0.914 0.618 1
Sm7 0.724 0.388 0.174 1
Tl2 0.748 0.998 0.996 1
Sm8 0.769 0.704 0.618 1